Entry 1:
Ho3SbO3: optimized geometry, PBE.

**ΔE_f (raw)**: -2.755 eV/atom
**DOS at the Fermi energy**: 1.86 states/eV/cell
**Final energy**: -7.431 eV/atom
**Energy above the most stable polymorph in this dataset**: 0.113 eV/atom

Unit cell a=8.2734 b=8.2734 c=8.2734 alpha=47.18 beta=47.18 gamma=47.18
With the nearest neighbours (Å) after each atom.
Atoms (fractional coordinates):
Ho1 0.0443 0.7475 0.4013  4 O 2.26-2.31
Ho2 0.2525 0.5987 0.9557  4 O 2.26-2.31
Ho3 0.4013 0.0443 0.7475  4 O 2.26-2.31
Ho4 0.5987 0.9557 0.2525  4 O 2.26-2.31
Ho5 0.7475 0.4013 0.0443  4 O 2.26-2.31
Ho6 0.9557 0.2525 0.5987  4 O 2.26-2.31
Sb1 0.1667 0.1667 0.1667  6 Ho 3.10-3.13
Sb2 0.8333 0.8333 0.8333  6 Ho 3.10-3.13
O1 0.0618 0.3654 0.6922  4 Ho 2.26-2.31
O2 0.3078 0.9382 0.6346  4 Ho 2.26-2.31
O3 0.3654 0.6922 0.0618  4 Ho 2.26-2.31
O4 0.6346 0.3078 0.9382  4 Ho 2.26-2.31
O5 0.6922 0.0618 0.3654  4 Ho 2.26-2.31
O6 0.9382 0.6346 0.3078  4 Ho 2.26-2.31

=====

Entry 2:
Ho3Sb5O12: optimized geometry, PBE.

**ΔE_f (raw)**: -2.253 eV/atom
**DOS at the Fermi energy**: 0.00 states/eV/cell
**Final energy**: -6.945 eV/atom

Unit cell a=9.3988 b=9.3988 c=9.3988 alpha=109.47 beta=109.47 gamma=109.47
With the nearest neighbours (Å) after each atom.
Atoms (fractional coordinates):
Ho1 0.2500 0.5000 0.7500  4 O 2.25
Ho2 0.2500 0.7500 0.5000  4 O 2.25
Ho3 0.5000 0.2500 0.7500  4 O 2.25
Ho4 0.5000 0.7500 0.2500  4 O 2.25
Ho5 0.7500 0.2500 0.5000  4 O 2.25
Ho6 0.7500 0.5000 0.2500  4 O 2.25
Sb1 0.0000 0.0000 0.5154  3 O 2.04
Sb2 0.0000 0.2830 0.2830  4 O 1.99-2.22
Sb3 0.0000 0.5154 0.0000  3 O 2.04
Sb4 0.0000 0.7170 0.7170  4 O 1.99-2.22
Sb5 0.2830 0.0000 0.2830  4 O 1.99-2.22
Sb6 0.2830 0.2830 0.0000  4 O 1.99-2.22
Sb7 0.4846 0.4846 0.4846  3 O 2.04
Sb8 0.5154 0.0000 0.0000  3 O 2.04
Sb9 0.7170 0.0000 0.7170  4 O 1.99-2.22
Sb10 0.7170 0.7170 0.0000  4 O 1.99-2.22
O1 0.0000 0.2020 0.4794  2 Sb 2.04-2.22
O2 0.0000 0.4794 0.2020  2 Sb 2.04-2.22
O3 0.0000 0.5013 0.7044  1 Sb 1.99
O4 0.0000 0.7044 0.5013  1 Sb 1.99
O5 0.2020 0.0000 0.4794  2 Sb 2.04-2.22
O6 0.2020 0.4794 0.0000  2 Sb 2.04-2.22
O7 0.2030 0.4987 0.4987  1 Sb 1.99
O8 0.2774 0.7980 0.7980  2 Sb 2.04-2.22
O9 0.2956 0.2956 0.7970  1 Sb 1.99
O10 0.2956 0.7970 0.2956  1 Sb 1.99
O11 0.4794 0.0000 0.2020  2 Sb 2.04-2.22
O12 0.4794 0.2020 0.0000  2 Sb 2.04-2.22
O13 0.4987 0.2030 0.4987  1 Sb 1.99
O14 0.4987 0.4987 0.2030  1 Sb 1.99
O15 0.5013 0.0000 0.7044  1 Sb 1.99
O16 0.5013 0.7044 0.0000  1 Sb 1.99
O17 0.5206 0.5206 0.7226  2 Sb 2.04-2.22
O18 0.5206 0.7226 0.5206  2 Sb 2.04-2.22
O19 0.7044 0.0000 0.5013  1 Sb 1.99
O20 0.7044 0.5013 0.0000  1 Sb 1.99
O21 0.7226 0.5206 0.5206  2 Sb 2.04-2.22
O22 0.7970 0.2956 0.2956  1 Sb 1.99
O23 0.7980 0.2774 0.7980  2 Sb 2.04-2.22
O24 0.7980 0.7980 0.2774  2 Sb 2.04-2.22

=====

Entry 3:
Ho2SbO: optimized geometry, PBE.

**ΔE_f (raw)**: -1.681 eV/atom
**DOS at the Fermi energy**: 2.47 states/eV/cell
**Final energy**: -6.240 eV/atom
**Energy above the most stable polymorph in this dataset**: 0.353 eV/atom

Unit cell a=7.2784 b=7.2784 c=7.2784 alpha=29.32 beta=29.32 gamma=29.32
With the nearest neighbours (Å) after each atom.
Atoms (fractional coordinates):
Ho1 0.2272 0.2272 0.2272  3 O 2.47
Ho2 0.7728 0.7728 0.7728  3 O 2.47
Sb1 0.0000 0.0000 0.0000  6 Ho 3.07
O1 0.5000 0.5000 0.5000  6 Ho 2.47

=====

Entry 4:
Ho5Sb4O: optimized geometry, PBE.

**ΔE_f (raw)**: -1.310 eV/atom
**DOS at the Fermi energy**: 3.05 states/eV/cell
**Final energy**: -5.744 eV/atom

Unit cell a=7.3025 b=7.3025 c=7.3025 alpha=100.19 beta=100.19 gamma=130.25
With the nearest neighbours (Å) after each atom.
Atoms (fractional coordinates):
Ho1 0.0000 0.0000 0.0000  1 O 2.13
Ho2 0.3175 0.6893 0.8248  1 O 2.75, 2 Sb 3.02-3.05
Ho3 0.4927 0.3175 0.6282  1 O 2.75, 2 Sb 3.02-3.05
Ho4 0.6893 0.8645 0.3718  1 O 2.75, 2 Sb 3.02-3.05
Ho5 0.8645 0.4927 0.1752  1 O 2.75, 2 Sb 3.02-3.05
Sb1 0.0032 0.7883 0.6075  6 Ho 3.02-3.09
Sb2 0.1808 0.3957 0.3925  6 Ho 3.02-3.09
Sb3 0.3957 0.0032 0.2148  6 Ho 3.02-3.09
Sb4 0.7883 0.1808 0.7852  6 Ho 3.02-3.09
O1 0.6525 0.6525 0.0000  1 Ho 2.13

=====

Entry 5:
Ho4Sb3O: optimized geometry, PBE.

**ΔE_f (raw)**: -1.414 eV/atom
**DOS at the Fermi energy**: 5.13 states/eV/cell
**Final energy**: -5.868 eV/atom

Unit cell a=11.9117 b=6.1242 c=6.1254 alpha=90.00 beta=90.00 gamma=90.00
With the nearest neighbours (Å) after each atom.
Atoms (fractional coordinates):
Ho1 0.0000 0.1534 0.0000  1 O 2.10
Ho2 0.0000 0.7473 0.4035  1 O 2.10
Ho3 0.2478 0.7582 0.0033  1 O 3.00, 5 Sb 3.00-3.07
Ho4 0.2522 0.2418 0.5033  1 O 3.00, 5 Sb 3.00-3.07
Ho5 0.5000 0.2527 0.9035  1 O 2.10
Ho6 0.5000 0.8466 0.5000  1 O 2.10
Ho7 0.7478 0.2418 0.5033  1 O 3.00, 5 Sb 3.00-3.07
Ho8 0.7522 0.7582 0.0033  1 O 3.00, 5 Sb 3.00-3.07
Sb1 0.0000 0.2466 0.4992  6 Ho 3.00-3.12
Sb2 0.2497 0.2582 0.0036  6 Ho 3.04-3.07
Sb3 0.2503 0.7418 0.5036  6 Ho 3.04-3.07
Sb4 0.5000 0.7534 0.9992  6 Ho 3.00-3.12
Sb5 0.7503 0.2582 0.0036  6 Ho 3.04-3.07
Sb6 0.7497 0.7418 0.5036  6 Ho 3.04-3.07
O1 0.0000 0.8170 0.0676  2 Ho 2.10
O2 0.5000 0.1830 0.5676  2 Ho 2.10

=====

Entry 6:
Ho6SbO12: optimized geometry, PBE.

**ΔE_f (raw)**: -3.149 eV/atom
**DOS at the Fermi energy**: 6.98 states/eV/cell
**Final energy**: -7.943 eV/atom

Unit cell a=6.4656 b=6.4656 c=6.4656 alpha=98.88 beta=98.88 gamma=98.88
With the nearest neighbours (Å) after each atom.
Atoms (fractional coordinates):
Ho1 0.1096 0.6398 0.8031  6 O 2.21-2.36
Ho2 0.1969 0.8904 0.3602  6 O 2.21-2.36
Ho3 0.3602 0.1969 0.8904  6 O 2.21-2.36
Ho4 0.6398 0.8031 0.1096  6 O 2.21-2.36
Ho5 0.8031 0.1096 0.6398  6 O 2.21-2.36
Ho6 0.8904 0.3602 0.1969  6 O 2.21-2.36
Sb1 0.5000 0.5000 0.5000  6 O 2.03
O1 0.0637 0.3220 0.9128  4 Ho 2.21-2.34
O2 0.0872 0.9363 0.6780  4 Ho 2.21-2.34
O3 0.1947 0.5425 0.4301  1 Sb 2.03
O4 0.3220 0.9128 0.0637  4 Ho 2.21-2.34
O5 0.4301 0.1947 0.5425  1 Sb 2.03
O6 0.4575 0.5699 0.8053  1 Sb 2.03
O7 0.5425 0.4301 0.1947  1 Sb 2.03
O8 0.5699 0.8053 0.4575  1 Sb 2.03
O9 0.6780 0.0872 0.9363  4 Ho 2.21-2.34
O10 0.8053 0.4575 0.5699  1 Sb 2.03
O11 0.9128 0.0637 0.3220  4 Ho 2.21-2.34
O12 0.9363 0.6780 0.0872  4 Ho 2.21-2.34